(1)
Density functional theory data (PBE) for a relaxed structure of La2PrDy6Ho3.

Crystal system ... monoclinic
M_tot ... 0.000 Bohr magnetons per cell
Formation energy from the elements ... 0.022 eV per atom

a b c (Å): 6.219 10.772 11.868
angles (deg): 90.00 100.05 90.00
Space group C2/m (No. 12)
One atom of each set of equivalent atoms:
La1 0.000 0.167 0.000 x4
Pr1 0.000 0.500 0.000 x2
Dy1 0.247 0.167 0.744 x8
Dy2 0.247 0.500 0.744 x4
Ho1 0.000 0.000 0.500 x2
Ho2 0.000 0.333 0.500 x4



(2)
Density functional theory data (PBE) for a relaxed structure of Cs2Rb2Tl.

Crystal system ... tetragonal
M_tot ... 0.625 Bohr magnetons per cell
Energy relative to the lowest polymorph listed for this composition ... 0.99 eV/f.u.
Formation energy from the elements ... 0.178 eV per atom

a b c (Å): 5.731 5.731 25.891
angles (deg): 90.00 90.00 90.00
Space group I4/mmm (No. 139)
One atom of each set of equivalent atoms:
Cs1 0.000 0.000 0.083 x4
Rb1 0.000 0.500 0.250 x4
Tl1 0.000 0.000 0.500 x2



(3)
Density functional theory data (PBE) for a relaxed structure of Na2TlAs2Pd5.

Crystal system ... tetragonal
M_tot ... 0.000 Bohr magnetons per cell
Formation energy from the elements ... -0.343 eV per atom

a b c (Å): 10.407 10.407 3.445
angles (deg): 90.00 90.00 90.00
Space group P4/mbm (No. 127)
One atom of each set of equivalent atoms:
Na1 0.174 0.326 0.000 x4
Tl1 0.000 0.000 0.000 x2
As1 0.128 0.628 0.000 x4
Pd1 0.000 0.500 0.500 x2
Pd2 0.062 0.791 0.500 x8



(4)
Density functional theory data (PBE) for a relaxed structure of Cs2CdGaSe.

Formation energy from raw total energies ... -12.3 meV/atom
Crystal system ... tetragonal
M_tot ... 0.000 Bohr magnetons per cell
Energy relative to the lowest polymorph listed for this composition ... 0.00 eV/f.u.

a b c (Å): 6.778 6.778 5.105
angles (deg): 90.00 90.00 90.00
Space group P4/mmm (No. 123)
One atom of each set of equivalent atoms:
Cs1 0.000 0.500 0.000 x2
Cd1 0.000 0.000 0.000 x1
Ga1 0.000 0.000 0.500 x1
Se1 0.500 0.500 0.500 x1